(1)
Density functional theory data (GGA-PBE) for an optimized crystal structure of Cr2TcBi. Values from VASP.

Results
E_form = 1.057 eV/atom
Space group = I-42d
Raw total energy = -7.32 eV per atom

```
&SYSTEM
  ibrav = 0, nat = 8, ntyp = 3
/
ATOMIC_SPECIES
Cr 52.00 Cr.upf
Bi 208.98 Bi.upf
Tc 98.00 Tc.upf
ATOMIC_POSITIONS crystal
Cr 0.3750 0.4674 0.7500
Cr 0.8750 0.7826 0.7500
Cr 0.2174 0.6250 0.2500
Bi 0.0000 0.0000 0.0000
Tc 0.5000 0.5000 0.0000
Tc 0.2500 0.7500 0.5000
Bi 0.7500 0.2500 0.5000
Cr 0.5326 0.1250 0.2500
CELL_PARAMETERS angstrom
4.0936 0.0000 0.0000
0.0000 4.0936 0.0000
2.0468 2.0468 8.5854
```

***

(2)
Density functional theory data (GGA-PBE) for an optimized crystal structure of Tl2NiAs. Values from VASP.

Results
E_form = 0.528 eV/atom
Space group = I-42d
Raw total energy = -3.26 eV per atom
Offset from the most stable computed form = 609 meV per atom

```
&SYSTEM
  ibrav = 0, nat = 8, ntyp = 3
/
ATOMIC_SPECIES
As 74.92 As.upf
Tl 204.38 Tl.upf
Ni 58.69 Ni.upf
ATOMIC_POSITIONS crystal
As 0.0000 0.0000 0.0000
As 0.7500 0.2500 0.5000
Tl 0.3750 0.4011 0.7500
Ni 0.5000 0.5000 0.0000
Ni 0.2500 0.7500 0.5000
Tl 0.8750 0.8489 0.7500
Tl 0.5989 0.1250 0.2500
Tl 0.1511 0.6250 0.2500
CELL_PARAMETERS angstrom
6.2747 0.0000 0.0000
0.0000 6.2747 0.0000
3.1373 3.1373 6.0055
```